*1*
Density functional theory data (SCAN) for a crystal of LiCa2Ag relaxed with PBEsol.

Symmetry: Fm-3m
Size of the total moment, μB/atom: 0.025
DOS(E_F), states/eV per atom: 0.859

Cell and atoms, written as extended XYZ:
```
4
Lattice="0.000 3.733 3.733 3.733 0.000 3.733 3.733 3.733 0.000" Properties=species:S:1:pos:R:3 pbc="T T T"
Li 0.000 0.000 0.000
Ca 1.866 1.866 1.866
Ca 5.599 5.599 5.599
Ag 3.733 3.733 3.733
```

***

*2*
Density functional theory data (SCAN) for a crystal of LiCa2Ag relaxed with PBEsol.

Symmetry: Imm2
Size of the total moment, μB/atom: 0.022
DOS(E_F), states/eV per atom: 0.642

Cell and atoms, written as extended XYZ:
```
4
Lattice="-1.844 2.610 5.593 1.844 -2.610 5.593 1.844 2.610 -5.593" Properties=species:S:1:pos:R:3 pbc="T T T"
Li 0.000 0.000 0.000
Ca 0.000 0.000 4.603
Ca 0.000 2.610 2.267
Ag 1.844 0.000 1.999
```

***

*3*
Density functional theory data (SCAN) for a crystal of LiCa2Ag relaxed with PBEsol.

Symmetry: P4mm
Size of the total moment, μB/atom: 0.008
DOS(E_F), states/eV per atom: 0.758

Cell and atoms, written as extended XYZ:
```
4
Lattice="3.646 0.000 0.000 0.000 3.646 0.000 0.000 0.000 7.999" Properties=species:S:1:pos:R:3 pbc="T T T"
Li 0.000 0.000 0.000
Ca 0.000 0.000 2.967
Ca 1.823 1.823 5.905
Ag 1.823 1.823 1.100
```

***

Pick *1*: it beats the second-best structure by 0.033 eV/atom.

***

*1*
Density functional theory data (SCAN) for a crystal of LiCa2Ag relaxed with PBEsol.

Symmetry: P4/mmm
Size of the total moment, μB/atom: 0.001
DOS(E_F), states/eV per atom: 0.804

Cell and atoms, written as extended XYZ:
```
4
Lattice="5.248 0.000 0.000 0.000 5.248 0.000 0.000 0.000 3.802" Properties=species:S:1:pos:R:3 pbc="T T T"
Li 0.000 0.000 0.000
Ca 0.000 2.624 1.901
Ca 2.624 0.000 1.901
Ag 2.624 2.624 0.000
```

***

*2*
Density functional theory data (SCAN) for a crystal of LiCa2Ag relaxed with PBEsol.

Symmetry: Amm2
Size of the total moment, μB/atom: 0.001
DOS(E_F), states/eV per atom: 0.629

Cell and atoms, written as extended XYZ:
```
4
Lattice="4.545 0.000 0.000 0.000 2.085 5.771 0.000 -2.085 5.771" Properties=species:S:1:pos:R:3 pbc="T T T"
Li 0.000 0.000 0.000
Ca 0.000 0.000 3.393
Ca 2.272 0.000 6.750
Ag 2.272 0.000 10.047
```

***

Pick *2*: it beats the second-best structure by 0.038 eV/atom.

***

*1*
Density functional theory data (SCAN) for a crystal of Li2CaAg2 relaxed with PBEsol.

Symmetry: I4/mmm
Size of the total moment, μB/atom: 0.000
DOS(E_F), states/eV per atom: 0.385

Cell and atoms, written as extended XYZ:
```
5
Lattice="-2.314 2.314 4.735 2.314 -2.314 4.735 2.314 2.314 -4.735" Properties=species:S:1:pos:R:3 pbc="T T T"
Li 0.000 0.000 1.297
Li 0.000 0.000 8.172
Ca 0.000 0.000 4.735
Ag 2.314 0.000 2.367
Ag 0.000 2.314 2.367
```

***

*2*
Density functional theory data (SCAN) for a crystal of Li2CaAg2 relaxed with PBEsol.

Symmetry: P4/mbm
Size of the total moment, μB/atom: 0.000
DOS(E_F), states/eV per atom: 0.422

Cell and atoms, written as extended XYZ:
```
10
Lattice="7.636 0.000 0.000 0.000 7.636 0.000 0.000 0.000 3.399" Properties=species:S:1:pos:R:3 pbc="T T T"
Li 1.139 2.679 0.000
Li 2.679 6.497 0.000
Li 4.957 1.139 0.000
Li 6.497 4.957 0.000
Ca 0.000 0.000 1.700
Ca 3.818 3.818 1.700
Ag 1.020 4.838 1.700
Ag 2.798 1.020 1.700
Ag 4.838 6.616 1.700
Ag 6.616 2.798 1.700
```

***

Pick *1*: it beats the second-best structure by 0.033 eV/atom.

***

*1*
Density functional theory data (SCAN) for a crystal of Ca2MgAg2 relaxed with PBEsol.

Symmetry: I4/mmm
Size of the total moment, μB/atom: 0.018
DOS(E_F), states/eV per atom: 0.469

Cell and atoms, written as extended XYZ:
```
5
Lattice="-1.924 1.924 9.003 1.924 -1.924 9.003 1.924 1.924 -9.003" Properties=species:S:1:pos:R:3 pbc="T T T"
Ca 0.000 0.000 2.067
Ca 0.000 0.000 15.939
Mg 0.000 0.000 9.003
Ag 1.924 0.000 4.502
Ag 0.000 1.924 4.502
```

***

*2*
Density functional theory data (SCAN) for a crystal of Ca2MgAg2 relaxed with PBEsol.

Symmetry: P4/mbm
Size of the total moment, μB/atom: 0.000
DOS(E_F), states/eV per atom: 0.498

Cell and atoms, written as extended XYZ:
```
10
Lattice="7.713 0.000 0.000 0.000 7.713 0.000 0.000 0.000 4.204" Properties=species:S:1:pos:R:3 pbc="T T T"
Ca 1.317 2.539 0.000
Ca 2.539 6.396 0.000
Ca 5.173 1.317 0.000
Ca 6.396 5.173 0.000
Mg 0.000 0.000 2.102
Mg 3.856 3.856 2.102
Ag 0.994 4.851 2.102
Ag 2.862 0.994 2.102
Ag 4.851 6.718 2.102
Ag 6.718 2.862 2.102
```

***

Pick *2*: it beats the second-best structure by 0.259 eV/atom.

***

*1*
Density functional theory data (SCAN) for a crystal of CaRe2Ag relaxed with PBEsol.

Symmetry: I4/mmm
Size of the total moment, μB/atom: 0.000
DOS(E_F), states/eV per atom: 0.548

Cell and atoms, written as extended XYZ:
```
4
Lattice="-1.889 1.889 4.873 1.889 -1.889 4.873 1.889 1.889 -4.873" Properties=species:S:1:pos:R:3 pbc="T T T"
Ca 0.000 0.000 0.000
Re 1.889 0.000 2.437
Re 0.000 1.889 2.437
Ag 0.000 0.000 4.873
```

***

*2*
Density functional theory data (SCAN) for a crystal of CaRe2Ag relaxed with PBEsol.

Symmetry: P4/mmm
Size of the total moment, μB/atom: 0.000
DOS(E_F), states/eV per atom: 0.621

Cell and atoms, written as extended XYZ:
```
4
Lattice="3.433 0.000 0.000 0.000 3.433 0.000 0.000 0.000 6.561" Properties=species:S:1:pos:R:3 pbc="T T T"
Ca 0.000 0.000 0.000
Re 1.716 1.716 2.118
Re 1.716 1.716 4.442
Ag 0.000 0.000 3.280
```

***

Pick *1*: it beats the second-best structure by 0.350 eV/atom.

***

*1*
Density functional theory data (SCAN) for a crystal of CaAg2Ru relaxed with PBEsol.

Symmetry: R3m
Size of the total moment, μB/atom: 0.210
DOS(E_F), states/eV per atom: 0.609

Cell and atoms, written as extended XYZ:
```
4
Lattice="1.473 0.850 9.434 -1.473 0.850 9.434 0.000 -1.700 9.434" Properties=species:S:1:pos:R:3 pbc="T T T"
Ca 0.000 0.000 0.000
Ag 0.000 0.000 6.813
Ag 0.000 0.000 13.944
Ru 0.000 0.000 21.148
```

***

*2*
Density functional theory data (SCAN) for a crystal of CaAg2Ru relaxed with PBEsol.

Symmetry: I4/mmm
Size of the total moment, μB/atom: 0.370
DOS(E_F), states/eV per atom: 0.508

Cell and atoms, written as extended XYZ:
```
4
Lattice="-2.084 2.084 4.110 2.084 -2.084 4.110 2.084 2.084 -4.110" Properties=species:S:1:pos:R:3 pbc="T T T"
Ca 0.000 0.000 0.000
Ag 2.084 0.000 2.055
Ag 0.000 2.084 2.055
Ru 0.000 0.000 4.110
```

***

*3*
Density functional theory data (SCAN) for a crystal of CaAg2Ru relaxed with PBEsol.

Symmetry: Imm2
Size of the total moment, μB/atom: 0.201
DOS(E_F), states/eV per atom: 0.992

Cell and atoms, written as extended XYZ:
```
4
Lattice="-1.986 2.092 4.256 1.986 -2.092 4.256 1.986 2.092 -4.256" Properties=species:S:1:pos:R:3 pbc="T T T"
Ca 0.000 0.000 0.000
Ag 0.000 0.000 4.235
Ag 0.000 2.092 2.100
Ru 1.986 0.000 2.141
```

***

Pick *2*: it beats the second-best structure by 0.011 eV/atom.